(1)
# RbHfMnSe4 PBE-GGA optimized geometry
# **E_form (uncorrected)**: -925.8 meV per atom
# **DOS at the Fermi energy**: 2.9 states/eV/f.u.
# **Mass density**: 5.315 g/cm³
# **Electronic total energy**: -81.0 eV for the cell shown
# **Calculated volume**: 28.3 A^3/atom
data_RbHfMnSe4
_chemical_formula_sum 'Rb2 Hf2 Mn2 Se8'
_cell_length_a 6.4865
_cell_length_b 6.8421
_cell_length_c 9.0072
_cell_angle_alpha 90.00
_cell_angle_beta 97.18
_cell_angle_gamma 90.00
_symmetry_space_group_name_H-M 'P 1 21/m 1'
_symmetry_Int_Tables_number 11
loop_
_symmetry_equiv_pos_as_xyz
'x,y,z'
'-x,-y,-z'
'-x,y+1/2,-z'
'x,-y+1/2,z'
loop_
_atom_site_label
_atom_site_type_symbol
_atom_site_fract_x
_atom_site_fract_y
_atom_site_fract_z
_atom_site_occupancy
Rb1 Rb 0.2218 0.2500 0.0464 1
Hf1 Hf 0.1785 0.7500 0.4457 1
Mn1 Mn 0.3550 0.2500 0.6514 1
Se1 Se 0.1051 0.5071 0.6848 1
Se2 Se 0.3264 0.7500 0.1809 1
Se3 Se 0.4373 0.2500 0.4057 1

(2)
# Rb2Hf2MnTe6 PBE-GGA optimized geometry
# **E_form (uncorrected)**: -783.6 meV per atom
# **DOS at the Fermi energy**: 0.1 states/eV/f.u.
# **Mass density**: 5.615 g/cm³
# **Electronic total energy**: -117.0 eV for the cell shown
# **Calculated volume**: 36.3 A^3/atom
data_Rb2Hf2MnTe6
_chemical_formula_sum 'Rb4 Hf4 Mn2 Te12'
_cell_length_a 7.2299
_cell_length_b 12.5620
_cell_length_c 9.1123
_cell_angle_alpha 90.00
_cell_angle_beta 105.46
_cell_angle_gamma 90.00
_symmetry_space_group_name_H-M 'C 1 2/m 1'
_symmetry_Int_Tables_number 12
loop_
_symmetry_equiv_pos_as_xyz
'x,y,z'
'-x,-y,-z'
'-x,y,-z'
'x,-y,z'
'x+1/2,y+1/2,z'
'-x+1/2,-y+1/2,-z'
'-x+1/2,y+1/2,-z'
'x+1/2,-y+1/2,z'
loop_
_atom_site_label
_atom_site_type_symbol
_atom_site_fract_x
_atom_site_fract_y
_atom_site_fract_z
_atom_site_occupancy
Rb1 Rb 0.0000 0.1652 0.0000 1
Hf1 Hf 0.0000 0.3319 0.5000 1
Mn1 Mn 0.0000 0.0000 0.5000 1
Te1 Te 0.2248 0.5000 0.6854 1
Te2 Te 0.2312 0.1665 0.6871 1

(3)
# Rb3Hf3MnTe8 PBE-GGA optimized geometry
# **E_form (uncorrected)**: -802.4 meV per atom
# **DOS at the Fermi energy**: 5.1 states/eV/f.u.
# **Mass density**: 5.868 g/cm³
# **Electronic total energy**: -237.3 eV for the cell shown
# **Calculated volume**: 35.2 A^3/atom
data_Rb3Hf3MnTe8
_chemical_formula_sum 'Rb9 Hf9 Mn3 Te24'
_cell_length_a 8.3506
_cell_length_b 8.3506
_cell_length_c 26.2453
_cell_angle_alpha 90.00
_cell_angle_beta 90.00
_cell_angle_gamma 120.00
_symmetry_space_group_name_H-M 'R -3 m'
_symmetry_Int_Tables_number 166
_symmetry_space_group_name_Hall '-R 3 2"'
loop_
_atom_site_label
_atom_site_type_symbol
_atom_site_fract_x
_atom_site_fract_y
_atom_site_fract_z
_atom_site_occupancy
Rb1 Rb 0.0000 0.5000 0.0000 1
Hf1 Hf 0.0000 0.5000 0.5000 1
Mn1 Mn 0.0000 0.0000 0.5000 1
Te1 Te 0.0000 0.0000 0.2308 1
Te2 Te 0.0031 0.5015 0.7709 1

(4)
# RbHfMnTe4 PBE-GGA optimized geometry
# **E_form (uncorrected)**: -557.4 meV per atom
# **DOS at the Fermi energy**: 1.6 states/eV/f.u.
# **Mass density**: 5.771 g/cm³
# **Electronic total energy**: -73.1 eV for the cell shown
# **Calculated volume**: 34.1 A^3/atom
data_RbHfMnTe4
_chemical_formula_sum 'Rb2 Hf2 Mn2 Te8'
_cell_length_a 6.9348
_cell_length_b 7.1050
_cell_length_c 9.7465
_cell_angle_alpha 90.00
_cell_angle_beta 96.37
_cell_angle_gamma 90.00
_symmetry_space_group_name_H-M 'P 1 21/m 1'
_symmetry_Int_Tables_number 11
loop_
_symmetry_equiv_pos_as_xyz
'x,y,z'
'-x,-y,-z'
'-x,y+1/2,-z'
'x,-y+1/2,z'
loop_
_atom_site_label
_atom_site_type_symbol
_atom_site_fract_x
_atom_site_fract_y
_atom_site_fract_z
_atom_site_occupancy
Rb1 Rb 0.2227 0.2500 0.0343 1
Hf1 Hf 0.2009 0.7500 0.4488 1
Mn1 Mn 0.3608 0.2500 0.6536 1
Te1 Te 0.0967 0.5086 0.6840 1
Te2 Te 0.3289 0.7500 0.1712 1
Te3 Te 0.4144 0.2500 0.3981 1

(5)
# Hf2MnRe3 PBE-GGA optimized geometry
# **DOS at the Fermi energy**: 5.1 states/eV/f.u.
# **Mass density**: 15.969 g/cm³
# **Electronic total energy**: -205.8 eV for the cell shown
# **ΔE_f**: -2.2 eV/f.u.
# **Calculated volume**: 16.8 A^3/atom
data_Hf2MnRe3
_chemical_formula_sum 'Hf6 Mn3 Re9'
_cell_length_a 5.2122
_cell_length_b 5.2122
_cell_length_c 12.8686
_cell_angle_alpha 90.00
_cell_angle_beta 90.00
_cell_angle_gamma 120.00
_symmetry_space_group_name_H-M 'R -3 m'
_symmetry_Int_Tables_number 166
_symmetry_space_group_name_Hall '-R 3 2"'
loop_
_atom_site_label
_atom_site_type_symbol
_atom_site_fract_x
_atom_site_fract_y
_atom_site_fract_z
_atom_site_occupancy
Hf1 Hf 0.0000 0.0000 0.1238 1
Mn1 Mn 0.0000 0.0000 0.5000 1
Re1 Re 0.0000 0.5000 0.0000 1

(6)
# HfMn2Re PBE-GGA optimized geometry
# **DOS at the Fermi energy**: 5.1 states/eV/f.u.
# **Mass density**: 11.553 g/cm³
# **Electronic total energy**: -76.0 eV for the cell shown
# **ΔE_f**: 2.7 eV/f.u.
# **Calculated volume**: 17.1 A^3/atom
data_HfMn2Re
_chemical_formula_sum 'Hf2 Mn4 Re2'
_cell_length_a 5.2510
_cell_length_b 9.2724
_cell_length_c 2.8018
_cell_angle_alpha 90.00
_cell_angle_beta 90.00
_cell_angle_gamma 90.00
_symmetry_space_group_name_H-M 'C m m m'
_symmetry_Int_Tables_number 65
_symmetry_space_group_name_Hall '-C 2 2'
loop_
_atom_site_label
_atom_site_type_symbol
_atom_site_fract_x
_atom_site_fract_y
_atom_site_fract_z
_atom_site_occupancy
Hf1 Hf 0.0000 0.0000 0.0000 1
Mn1 Mn 0.0000 0.2714 0.5000 1
Re1 Re 0.0000 0.5000 0.0000 1

(7)
# HfMn2Re3 PBE-GGA optimized geometry
# **DOS at the Fermi energy**: 6.1 states/eV/f.u.
# **Mass density**: 14.563 g/cm³
# **Electronic total energy**: -65.2 eV for the cell shown
# **ΔE_f**: 0.5 eV/f.u.
# **Calculated volume**: 16.1 A^3/atom
data_HfMn2Re3
_chemical_formula_sum 'Hf1 Mn2 Re3'
_cell_length_a 5.1389
_cell_length_b 5.1389
_cell_length_c 4.2228
_cell_angle_alpha 90.00
_cell_angle_beta 90.00
_cell_angle_gamma 120.00
_symmetry_space_group_name_H-M 'P 6/m m m'
_symmetry_Int_Tables_number 191
_symmetry_space_group_name_Hall '-P 6 2'
loop_
_atom_site_label
_atom_site_type_symbol
_atom_site_fract_x
_atom_site_fract_y
_atom_site_fract_z
_atom_site_occupancy
Hf1 Hf 0.0000 0.0000 0.0000 1
Mn1 Mn 0.3333 0.6667 0.0000 1
Re1 Re 0.0000 0.5000 0.5000 1

(8)
# HfMnRe2 PBE-GGA optimized geometry
# **DOS at the Fermi energy**: 6.0 states/eV/f.u.
# **Mass density**: 15.025 g/cm³
# **Electronic total energy**: -168.5 eV for the cell shown
# **ΔE_f**: 1.9 eV/f.u.
# **Calculated volume**: 16.7 A^3/atom
data_HfMnRe2
_chemical_formula_sum 'Hf4 Mn4 Re8'
_cell_length_a 7.2558
_cell_length_b 7.2558
_cell_length_c 5.0872
_cell_angle_alpha 90.00
_cell_angle_beta 90.00
_cell_angle_gamma 90.00
_symmetry_space_group_name_H-M 'I -4 2 d'
_symmetry_Int_Tables_number 122
_symmetry_space_group_name_Hall 'I -4 2bw'
loop_
_atom_site_label
_atom_site_type_symbol
_atom_site_fract_x
_atom_site_fract_y
_atom_site_fract_z
_atom_site_occupancy
Hf1 Hf 0.0000 0.0000 0.0000 1
Mn1 Mn 0.0000 0.0000 0.5000 1
Re1 Re 0.1927 0.7500 0.6250 1

(9)
# HfMn2Re PBE-GGA optimized geometry
# **DOS at the Fermi energy**: 3.3 states/eV/f.u.
# **Mass density**: 13.890 g/cm³
# **Electronic total energy**: -40.8 eV for the cell shown
# **ΔE_f**: -0.1 eV/f.u.
# **Calculated volume**: 14.2 A^3/atom
data_HfMn2Re
_chemical_formula_sum 'Hf1 Mn2 Re1'
_cell_length_a 3.0219
_cell_length_b 3.0219
_cell_length_c 6.2128
_cell_angle_alpha 90.00
_cell_angle_beta 90.00
_cell_angle_gamma 90.00
_symmetry_space_group_name_H-M 'P 4/m m m'
_symmetry_Int_Tables_number 123
_symmetry_space_group_name_Hall '-P 4 2'
loop_
_atom_site_label
_atom_site_type_symbol
_atom_site_fract_x
_atom_site_fract_y
_atom_site_fract_z
_atom_site_occupancy
Hf1 Hf 0.0000 0.0000 0.0000 1
Mn1 Mn 0.5000 0.5000 0.2656 1
Re1 Re 0.0000 0.0000 0.5000 1

(10)
# HfMnRe2 PBE-GGA optimized geometry
# **DOS at the Fermi energy**: 6.1 states/eV/f.u.
# **Mass density**: 16.499 g/cm³
# **Electronic total energy**: -174.0 eV for the cell shown
# **ΔE_f**: 0.5 eV/f.u.
# **Calculated volume**: 15.2 A^3/atom
data_HfMnRe2
_chemical_formula_sum 'Hf4 Mn4 Re8'
_cell_length_a 6.2480
_cell_length_b 6.2480
_cell_length_c 6.2480
_cell_angle_alpha 90.00
_cell_angle_beta 90.00
_cell_angle_gamma 90.00
_symmetry_space_group_name_H-M 'F m -3 m'
_symmetry_Int_Tables_number 225
_symmetry_space_group_name_Hall '-F 4 2 3'
loop_
_atom_site_label
_atom_site_type_symbol
_atom_site_fract_x
_atom_site_fract_y
_atom_site_fract_z
_atom_site_occupancy
Hf1 Hf 0.0000 0.0000 0.0000 1
Mn1 Mn 0.0000 0.0000 0.5000 1
Re1 Re 0.2500 0.2500 0.2500 1